Here is crystalline Rb3Ac2CdO6 at its relaxed geometry from the Alexandria database. Energies are from PBE.

Values from the calculation:
**Calculated density**: 6.23 g cm⁻³
**Energy relative to the elements, uncorrected**: -1.94 eV/atom
**Density of states at the Fermi level**: 0.57 states/eV/atom

Lattice parameters (Å, degrees): 6.348 11.646 6.877 90.00 105.41 90.00
Space group C2/m (No. 12)
Unique sites:
Rb  0.000  0.000  0.000 [2 per cell]
Rb  0.000  0.343  0.000 [4 per cell]
Ac  0.000  0.165  0.500 [4 per cell]
Cd  0.000  0.500  0.500 [2 per cell]
O  0.242  0.000  0.676 [4 per cell]
O  0.242  0.328  0.702 [8 per cell]


Here is crystalline Rb2AcCdO4 at its relaxed geometry from the Alexandria database. Energies are from PBE.

Values from the calculation:
**Calculated density**: 6.10 g cm⁻³
**Energy relative to the elements, uncorrected**: -1.67 eV/atom
**Density of states at the Fermi level**: 0.47 states/eV/atom

Lattice parameters (Å, degrees): 6.105 3.879 6.860 90.00 105.63 90.00
Space group P2/m (No. 10)
Unique sites:
Rb  0.000  0.000  0.000 [1 per cell]
Rb  0.500  0.500  0.000 [1 per cell]
Ac  0.000  0.500  0.500 [1 per cell]
Cd  0.500  0.000  0.500 [1 per cell]
O  0.242  0.000  0.684 [2 per cell]
O  0.259  0.500  0.299 [2 per cell]


Here is crystalline AcCdRe2O8 at its relaxed geometry from the Alexandria database. Energies are from PBE.

Values from the calculation:
**Calculated density**: 4.63 g cm⁻³
**Energy relative to the elements, uncorrected**: -1.81 eV/atom
**Density of states at the Fermi level**: 0.51 states/eV/atom

Lattice parameters (Å, degrees): 6.6490 6.6490 7.8685 90.00 90.00 120.00
Space group P-3 (No. 147)
Unique sites:
Ac  0.0000  0.0000  0.0000 [1 per cell]
Cd  0.0000  0.0000  0.5000 [1 per cell]
Re  0.3333  0.6667  0.2378 [2 per cell]
O  0.1863  0.3746  0.1604 [6 per cell]
O  0.3333  0.6667  0.4587 [2 per cell]


Here is crystalline AcCd2RhO6 at its relaxed geometry from the Alexandria database. Energies are from PBE.

Values from the calculation:
**Calculated density**: 7.57 g cm⁻³
**Energy relative to the elements, uncorrected**: -1.39 eV/atom
**Density of states at the Fermi level**: 0.34 states/eV/atom

Lattice parameters (Å, degrees): 5.763 5.938 10.139 90.00 124.64 90.00
Space group P2_1/c (No. 14)
Unique sites:
Ac  0.000  0.000  0.000 [2 per cell]
Cd  0.226  0.029  0.731 [4 per cell]
Rh  0.500  0.000  0.500 [2 per cell]
O  0.168  0.107  0.284 [4 per cell]
O  0.237  0.650  0.036 [4 per cell]
O  0.449  0.225  0.095 [4 per cell]


Here is crystalline Ac2CdRhO5 at its relaxed geometry from the Alexandria database. Energies are from PBE.

Values from the calculation:
**Calculated density**: 8.13 g cm⁻³
**Energy relative to the elements, uncorrected**: -1.94 eV/atom
**Density of states at the Fermi level**: 0.81 states/eV/atom

Lattice parameters (Å, degrees): 7.311 7.311 5.729 90.00 90.00 90.00
Space group P4/mbm (No. 127)
Unique sites:
Ac  0.177  0.323  0.000 [4 per cell]
Cd  0.000  0.000  0.500 [2 per cell]
Rh  0.000  0.500  0.500 [2 per cell]
O  0.000  0.000  0.000 [2 per cell]
O  0.133  0.633  0.254 [8 per cell]


Here is crystalline AcCdRhO4 at its relaxed geometry from the Alexandria database. Energies are from PBE.

Values from the calculation:
**Calculated density**: 7.26 g cm⁻³
**Energy relative to the elements, uncorrected**: -1.62 eV/atom

Lattice parameters (Å, degrees): 6.826 8.263 8.210 90.00 90.00 90.00
Space group Imma (No. 74)
Unique sites:
Ac  0.000  0.000  0.000 [4 per cell]
Cd  0.000  0.250  0.443 [4 per cell]
Rh  0.250  0.250  0.750 [4 per cell]
O  0.000  0.095  0.711 [8 per cell]
O  0.205  0.250  0.006 [8 per cell]


Here is crystalline AcCdRhO6 at its relaxed geometry from the Alexandria database. Energies are from PBE.

Values from the calculation:
**Calculated density**: 7.22 g cm⁻³
**Energy relative to the elements, uncorrected**: -1.21 eV/atom
**Density of states at the Fermi level**: 0.79 states/eV/atom

Lattice parameters (Å, degrees): 5.9719 5.9719 8.0141 90.00 90.00 120.00
Space group P-31c (No. 163)
Unique sites:
Ac  0.3333  0.6667  0.2500 [2 per cell]
Cd  0.0000  0.0000  0.0000 [2 per cell]
Rh  0.3333  0.6667  0.7500 [2 per cell]
O  0.0682  0.3902  0.6152 [12 per cell]


Here is crystalline AcCdRuO6 at its relaxed geometry from the Alexandria database. Energies are from PBE.

Values from the calculation:
**Calculated density**: 6.41 g cm⁻³
**Energy relative to the elements, uncorrected**: -1.47 eV/atom
**Density of states at the Fermi level**: 0.46 states/eV/atom

Lattice parameters (Å, degrees): 5.5949 5.5949 5.1251 90.00 90.00 120.00
Space group P312 (No. 149)
Unique sites:
Ac  0.0000  0.0000  0.0000 [1 per cell]
Cd  0.3333  0.6667  0.5000 [1 per cell]
Ru  0.6667  0.3333  0.5000 [1 per cell]
O  0.3899  0.0494  0.7148 [6 per cell]